VASP calculation (PBE-GGA) on crystalline Li6AlAg6 at its relaxed geometry. Values from VASP.

Summary:
Energy in eV/atom: -2.52
Space group: P6/mmm, No. 191
Density in g/cm3: 5.706
DOS(E_F) in states/eV per cell: 3.71
Calculated formation energy in kJ per mole of atoms: -3.3

The structure in Quantum ESPRESSO input format:
```
&SYSTEM
  ibrav = 0, nat = 13, ntyp = 3
/
ATOMIC_SPECIES
Li 6.94 Li.upf
Al 26.98 Al.upf
Ag 107.87 Ag.upf
CELL_PARAMETERS angstrom
5.1057 -0.0011 0.0000
-2.5531 4.4215 0.0000
0.0000 0.0000 9.2294
ATOMIC_POSITIONS crystal
Li 0.0000 0.5000 0.7579
Li 0.5000 0.0000 0.7579
Li 0.5000 0.5000 0.7579
Li 0.5000 0.0000 0.2421
Li 0.0000 0.5000 0.2421
Li 0.5000 0.5000 0.2421
Al 0.0000 0.0000 0.0000
Ag 0.0000 0.0000 0.6513
Ag 0.0000 0.0000 0.3487
Ag 0.3333 0.6667 0.0000
Ag 0.6667 0.3333 0.0000
Ag 0.3333 0.6667 0.5000
Ag 0.6667 0.3333 0.5000
```

=====

VASP calculation (PBE-GGA) on crystalline Nd2PbF8 at its relaxed geometry. Values from VASP.

Summary:
Energy in eV/atom: -6.14
Space group: Cm, No. 8
Density in g/cm3: 6.945
Energy relative to the elements, uncorrected in eV/atom: -3.577
DOS(E_F) in states/eV per cell: 0.00

The structure in Quantum ESPRESSO input format:
```
&SYSTEM
  ibrav = 0, nat = 11, ntyp = 3
/
ATOMIC_SPECIES
Pb 207.20 Pb.upf
Nd 144.24 Nd.upf
F 19.00 F.upf
CELL_PARAMETERS angstrom
-1.8321 -3.7132 -0.0142
3.5626 -1.7045 -4.2690
3.3615 0.6068 6.5085
ATOMIC_POSITIONS crystal
Pb 0.1340 0.9441 0.9091
Nd 0.7616 0.6143 0.2326
Nd 0.4381 0.2909 0.5857
F 0.6806 0.2627 0.9091
F 0.9499 0.0326 0.5696
F 0.2894 0.3718 0.2485
F 0.7502 0.9339 0.1223
F 0.3258 0.8562 0.3268
F 0.9081 0.4388 0.4915
F 0.2255 0.5338 0.9090
F 0.5369 0.7209 0.6958
```

=====

M_tot across the listed records, respectively: 0.00; 0.00 μB/atom.